# 1
# Pr3Zn2Co7

A relaxed Pr3Zn2Co7 crystal (PBE, Alexandria).

Structure (POSCAR):
```
Pr3Zn2Co7
1.0
2.5788 1.4888 8.3193
-2.5788 1.4888 8.3193
0.0000 -2.9777 8.3193
Pr Zn Co
3 2 7
Direct
0.0000 0.0000 0.0000
0.1397 0.1397 0.1397
0.8603 0.8603 0.8603
0.3325 0.3325 0.3325
0.6675 0.6675 0.6675
0.0873 0.5799 0.5799
0.4201 0.4201 0.9127
0.4201 0.9127 0.4201
0.5000 0.5000 0.5000
0.5799 0.0873 0.5799
0.5799 0.5799 0.0873
0.9127 0.4201 0.4201
```

SG: R-3m
Volume, Å³/f.u.: 192

---

# 2
# CdFeCu2

A relaxed CdFeCu2 crystal (PBE, Alexandria).

Structure (POSCAR):
```
CdFeCu2
1.0
2.8716 0.0000 0.0000
0.0000 4.5397 0.0000
0.0000 0.0000 8.8125
Cd Fe Cu
2 2 4
Direct
0.0000 0.0000 0.0000
0.5000 0.5000 0.5000
0.0000 0.0000 0.5000
0.5000 0.5000 0.0000
0.0000 0.5000 0.2360
0.0000 0.5000 0.7640
0.5000 0.0000 0.2640
0.5000 0.0000 0.7360
```

SG: Immm
Volume, Å³/f.u.: 57

---

# 3
# TcHgRh

A relaxed TcHgRh crystal (PBE, Alexandria).

Structure (POSCAR):
```
TcHgRh
1.0
2.8553 0.0000 0.0000
-1.4277 2.4728 0.0000
0.0000 0.0000 6.9945
Tc Hg Rh
1 1 1
Direct
0.0000 0.0000 0.0000
0.3333 0.6667 0.3579
0.6667 0.3333 0.7112
```

SG: P3m1
Distance to the lowest polymorph of the same formula, kJ/mol of formula units: 20.8
Volume, Å³/f.u.: 49

---

# 4
# CdMoIrPd2

A relaxed CdMoIrPd2 crystal (PBE, Alexandria).

Structure (POSCAR):
```
CdMoIrPd2
1.0
4.8002 0.0000 0.0000
0.0000 4.8002 0.0000
0.0000 0.0000 4.9269
Cd Mo Ir Pd
1 1 1 2
Direct
0.0000 0.0000 0.0000
0.5000 0.5000 0.5000
0.0000 0.0000 0.5000
0.0000 0.5000 0.0000
0.5000 0.0000 0.0000
```

SG: P4/mmm
Volume, Å³/f.u.: 114

---

Record-wise formation energy from the elements values, in meV per atom: -70, 289, 271, 1758